Entry 1:
DFT (GGA-PBE) results for a relaxed NdSm2PuSb4 crystal.

Calculated values
- Energy relative to the elements, uncorrected: -1.0266 eV per atom
- Total magnetic moment: 5.026 μB per formula unit

abc: 7.7442 4.4812 7.7445
angles: 90.00 109.48 90.00
Fractional positions:
Nd: 0.0000 0.0000 0.0000
Sm: 0.5000 0.0000 0.5000
Sm: 0.5000 0.5000 0.0000
Pu: 0.0000 0.5000 0.5000
Sb: 0.2481 0.0000 0.7458
Sb: 0.2507 0.5000 0.2539
Sb: 0.7493 0.5000 0.7461
Sb: 0.7519 0.0000 0.2542

=====

Entry 2:
DFT (GGA-PBE) results for a relaxed SrSmAgGe crystal.

Calculated values
- Total magnetic moment: 0.000 μB per formula unit
- Energy of formation from the pure elements: -0.45 eV per atom

abc: 5.3163 5.3163 5.3163
angles: 60.00 60.00 60.00
Fractional positions:
Sr: 0.0000 0.0000 0.0000
Sm: 0.5000 0.5000 0.5000
Ag: 0.7500 0.7500 0.7500
Ge: 0.2500 0.2500 0.2500

=====

Entry 3:
DFT (GGA-PBE) results for a relaxed Ba2Mg3Cd12Pt crystal.

Calculated values
- Total magnetic moment: 0.000 μB per formula unit
- Energy of formation from the pure elements: -0.10 eV per atom

abc: 12.6018 12.6018 12.6018
angles: 31.81 31.81 31.81
Fractional positions:
Ba: 0.1448 0.1448 0.1448
Ba: 0.8552 0.8552 0.8552
Mg: 0.0000 0.5000 0.5000
Mg: 0.5000 0.0000 0.5000
Mg: 0.5000 0.5000 0.0000
Cd: 0.0894 0.0894 0.6593
Cd: 0.0894 0.6593 0.0894
Cd: 0.1371 0.5922 0.5922
Cd: 0.3407 0.9106 0.9106
Cd: 0.4078 0.4078 0.8629
Cd: 0.4078 0.8629 0.4078
Cd: 0.5922 0.1371 0.5922
Cd: 0.5922 0.5922 0.1371
Cd: 0.6593 0.0894 0.0894
Cd: 0.8629 0.4078 0.4078
Cd: 0.9106 0.3407 0.9106
Cd: 0.9106 0.9106 0.3407
Pt: 0.5000 0.5000 0.5000

=====

Entry 4:
DFT (GGA-PBE) results for a relaxed Gd2LuBr crystal.

Calculated values
- Energy relative to the elements, uncorrected: -0.5322 eV per atom
- Offset from the most stable computed form: 0.000 eV per atom
- Total magnetic moment: 15.112 μB per formula unit

abc: 10.4263 10.4263 10.4263
angles: 20.23 20.23 20.23
Fractional positions:
Gd: 0.2432 0.2432 0.2432
Gd: 0.7568 0.7568 0.7568
Lu: 0.0000 0.0000 0.0000
Br: 0.5000 0.5000 0.5000

=====

Entry 5:
DFT (GGA-PBE) results for a relaxed Fe5PtRh4 crystal.

Calculated values
- Total magnetic moment: 3.869 μB per formula unit
- Energy of formation from the pure elements: -0.06 eV per atom

abc: 3.0971 3.0971 14.2257
angles: 90.00 90.00 90.00
Fractional positions:
Fe: 0.0000 0.0000 0.0000
Fe: 0.0000 0.0000 0.1984
Fe: 0.0000 0.0000 0.3949
Fe: 0.0000 0.0000 0.6051
Fe: 0.0000 0.0000 0.8016
Pt: 0.5000 0.5000 0.5000
Rh: 0.5000 0.5000 0.0996
Rh: 0.5000 0.5000 0.2984
Rh: 0.5000 0.5000 0.7016
Rh: 0.5000 0.5000 0.9004

=====

Entry 6:
DFT (GGA-PBE) results for a relaxed Ca2HgBr6 crystal.

Calculated values
- Energy relative to the elements, uncorrected: -1.4897 eV per atom
- Total magnetic moment: 0.000 μB per formula unit

abc: 7.8063 7.8063 10.7585
angles: 108.28 108.28 31.47
Fractional positions:
Ca: 0.1640 0.1640 0.3306
Ca: 0.8360 0.8360 0.6694
Hg: 0.5000 0.5000 0.0000
Br: 0.1374 0.1374 0.0472
Br: 0.1949 0.1949 0.6139
Br: 0.4769 0.4769 0.7230
Br: 0.5231 0.5231 0.2770
Br: 0.8051 0.8051 0.3861
Br: 0.8626 0.8626 0.9528

=====

Entry 7:
DFT (GGA-PBE) results for a relaxed TiCuNF2 crystal.

Calculated values
- Energy relative to the elements, uncorrected: -0.5017 eV per atom
- Offset from the most stable computed form: 0.829 eV per atom
- Total magnetic moment: 1.226 μB per formula unit

abc: 3.6837 3.6837 4.3053
angles: 90.00 90.00 90.00
Fractional positions:
Ti: 0.0000 0.0000 0.0000
Cu: 0.5000 0.5000 0.5000
N: 0.5000 0.5000 0.0000
F: 0.0000 0.5000 0.5000
F: 0.5000 0.0000 0.5000

=====

Entry 8:
DFT (GGA-PBE) results for a relaxed LaThMgHg crystal.

Calculated values
- Total magnetic moment: 0.000 μB per formula unit
- Energy of formation from the pure elements: -0.13 eV per atom

abc: 5.4808 5.4808 5.4808
angles: 60.00 60.00 60.00
Fractional positions:
La: 0.0000 0.0000 0.0000
Th: 0.5000 0.5000 0.5000
Mg: 0.7500 0.7500 0.7500
Hg: 0.2500 0.2500 0.2500

=====

Entry 9:
DFT (GGA-PBE) results for a relaxed Ir3PdI crystal.

Calculated values
- Energy relative to the elements, uncorrected: 2.1185 eV per atom
- Offset from the most stable computed form: 0.000 eV per atom
- Total magnetic moment: 4.330 μB per formula unit

abc: 4.8333 4.8333 4.8333
angles: 90.00 90.00 90.00
Fractional positions:
Ir: 0.0000 0.0000 0.5000
Ir: 0.0000 0.5000 0.0000
Ir: 0.5000 0.0000 0.0000
Pd: 0.0000 0.0000 0.0000
I: 0.5000 0.5000 0.5000

=====

Entry 10:
DFT (GGA-PBE) results for a relaxed BH4Pd5 crystal.

Calculated values
- Final energy: -4.695 eV per atom
- Total magnetic moment: 0.000 μB per formula unit

abc: 5.1506 5.1506 5.1506
angles: 100.44 100.44 129.62
Fractional positions:
B: 0.0000 0.0000 0.0000
H: 0.1290 0.5681 0.7992
H: 0.3298 0.1290 0.5610
H: 0.5681 0.7689 0.4390
H: 0.7689 0.3298 0.2008
Pd: 0.1097 0.3081 0.4029
Pd: 0.3081 0.9052 0.1984
Pd: 0.5026 0.5026 0.0000
Pd: 0.7068 0.1097 0.8016
Pd: 0.9052 0.7068 0.5971

=====

Entry 11:
DFT (GGA-PBE) results for a relaxed CsLiGaBi2 crystal.

Calculated values
- Total magnetic moment: 0.000 μB per formula unit
- Energy of formation from the pure elements: -0.28 eV per atom

abc: 7.3741 7.3741 7.3741
angles: 139.82 139.82 58.13
Fractional positions:
Cs: 0.0000 0.0000 0.0000
Li: 0.7500 0.2500 0.5000
Ga: 0.2500 0.7500 0.5000
Bi: 0.3707 0.3707 0.0000
Bi: 0.6293 0.6293 0.0000

=====

Entry 12:
DFT (GGA-PBE) results for a relaxed CaAcHo2S4 crystal.

Calculated values
- Energy relative to the elements, uncorrected: -1.9873 eV per atom
- Total magnetic moment: 0.000 μB per formula unit

abc: 6.9868 3.9954 7.0243
angles: 90.00 108.93 90.00
Fractional positions:
Ca: 0.0000 0.0000 0.0000
Ac: 0.5000 0.5000 0.0000
Ho: 0.0000 0.5000 0.5000
Ho: 0.5000 0.0000 0.5000
S: 0.2316 0.0000 0.7272
S: 0.2460 0.5000 0.2660
S: 0.7540 0.5000 0.7340
S: 0.7684 0.0000 0.2728

=====

Entry 13:
DFT (GGA-PBE) results for a relaxed Ge3F7 crystal.

Calculated values
- Energy relative to the elements, uncorrected: -1.9610 eV per atom
- Total magnetic moment: 0.914 μB per formula unit

abc: 8.5347 8.5347 4.9173
angles: 90.00 90.00 120.00
Fractional positions:
Ge: 0.1988 0.3975 0.0000
Ge: 0.1988 0.8012 0.0000
Ge: 0.3975 0.1988 0.5000
Ge: 0.6025 0.8012 0.0000
Ge: 0.8012 0.1988 0.5000
Ge: 0.8012 0.6025 0.5000
F: 0.1073 0.5537 0.1596
F: 0.1393 0.2786 0.3399
F: 0.1393 0.8607 0.3399
F: 0.2786 0.1393 0.8399
F: 0.3333 0.6667 0.7690
F: 0.4463 0.5537 0.1596
F: 0.4463 0.8927 0.1596
F: 0.5537 0.1073 0.6596
F: 0.5537 0.4463 0.6596
F: 0.6667 0.3333 0.2690
F: 0.7214 0.8607 0.3399
F: 0.8607 0.1393 0.8399
F: 0.8607 0.7214 0.8399
F: 0.8927 0.4463 0.6596

=====

Entry 14:
DFT (GGA-PBE) results for a relaxed Ce5Th4Cd crystal.

Calculated values
- Total magnetic moment: 1.052 μB per formula unit
- Energy of formation from the pure elements: -0.02 eV per atom

abc: 3.4755 3.4755 24.0338
angles: 90.00 90.00 90.00
Fractional positions:
Ce: 0.0000 0.0000 0.0000
Ce: 0.0000 0.0000 0.2022
Ce: 0.0000 0.0000 0.4043
Ce: 0.0000 0.0000 0.5957
Ce: 0.0000 0.0000 0.7978
Th: 0.5000 0.5000 0.1009
Th: 0.5000 0.5000 0.3024
Th: 0.5000 0.5000 0.6976
Th: 0.5000 0.5000 0.8991
Cd: 0.5000 0.5000 0.5000

=====

Entry 15:
DFT (GGA-PBE) results for a relaxed FeSbSe crystal.

Calculated values
- Energy relative to the elements, uncorrected: -0.2750 eV per atom
- Total magnetic moment: 0.000 μB per formula unit

abc: 6.2470 6.1187 6.2602
angles: 90.00 113.78 90.00
Fractional positions:
Fe: 0.2090 0.0088 0.2013
Fe: 0.2090 0.4912 0.7013
Fe: 0.7910 0.5088 0.2987
Fe: 0.7910 0.9912 0.7987
Sb: 0.3574 0.6396 0.1245
Sb: 0.3574 0.8604 0.6245
Sb: 0.6426 0.1396 0.3755
Sb: 0.6426 0.3604 0.8755
Se: 0.1465 0.1397 0.8282
Se: 0.1465 0.3603 0.3282
Se: 0.8535 0.6397 0.6718
Se: 0.8535 0.8603 0.1718

=====

Entry 16:
DFT (GGA-PBE) results for a relaxed RbCePm4S8 crystal.

Calculated values
- Energy relative to the elements, uncorrected: -1.8729 eV per atom
- Total magnetic moment: 1.002 μB per formula unit

abc: 8.5161 8.5161 8.5161
angles: 59.65 59.65 59.65
Fractional positions:
Rb: 0.0000 0.0000 0.0000
Ce: 0.6287 0.6287 0.6287
Pm: 0.1134 0.6294 0.6294
Pm: 0.2507 0.2507 0.2507
Pm: 0.6294 0.1134 0.6294
Pm: 0.6294 0.6294 0.1134
S: 0.3808 0.3808 0.8544
S: 0.3808 0.8544 0.3808
S: 0.3825 0.3825 0.3825
S: 0.4317 0.8567 0.8567
S: 0.8544 0.3808 0.3808
S: 0.8567 0.4317 0.8567
S: 0.8567 0.8567 0.4317
S: 0.8570 0.8570 0.8570

=====

Entry 17:
DFT (GGA-PBE) results for a relaxed Cs2GaPbBr6 crystal.

Calculated values
- Energy relative to the elements, uncorrected: -1.1957 eV per atom
- Total magnetic moment: 0.000 μB per formula unit

abc: 8.1097 8.1097 8.1097
angles: 119.84 119.84 90.27
Fractional positions:
Cs: 0.2500 0.7500 0.5000
Cs: 0.7500 0.2500 0.5000
Ga: 0.0000 0.0000 0.0000
Pb: 0.5000 0.5000 0.0000
Br: 0.2385 0.2385 0.0000
Br: 0.2392 0.2392 0.4784
Br: 0.2392 0.7608 0.0000
Br: 0.7608 0.2392 0.0000
Br: 0.7615 0.7615 0.0000
Br: 0.7608 0.7608 0.5216

=====

Entry 18:
DFT (GGA-PBE) results for a relaxed MoOs3Pb crystal.

Calculated values
- Offset from the most stable computed form: 1.451 eV per atom
- Total magnetic moment: 0.324 μB per formula unit
- Energy of formation from the pure elements: 3.43 eV per atom

abc: 4.8271 4.8271 4.8271
angles: 90.00 90.00 90.00
Fractional positions:
Mo: 0.0000 0.0000 0.0000
Os: 0.0000 0.5000 0.5000
Os: 0.5000 0.0000 0.5000
Os: 0.5000 0.5000 0.0000
Pb: 0.5000 0.5000 0.5000